This record from Alexandria via LeMat-Bulk describes crystalline SrI2 at its relaxed geometry. The functional is GGA-PBEsol.

Lattice parameters (Å, degrees): 7.610 7.610 4.898 90.00 90.00 90.00
Space group P4_2/mnm (No. 136)
Symmetry-distinct sites (fractional):
Sr1 0.000 0.000 0.000 [2 per cell]
I1 0.198 0.198 0.500 [4 per cell]

Energy relative to the elements, uncorrected   -1.648 eV/atom
Total energy   -3.44 eV/atom
Total magnetic moment   0.0 μB per formula unit

=====

This record from Alexandria via LeMat-Bulk describes crystalline SrI2 at its relaxed geometry. The functional is GGA-PBEsol.

Lattice parameters (Å, degrees): 12.256 4.886 8.311 90.00 90.00 90.00
Space group Pnma (No. 62)
Symmetry-distinct sites (fractional):
Sr1 0.171 0.250 0.130 [4 per cell]
I1 0.107 0.750 0.874 [4 per cell]
I2 0.120 0.750 0.382 [4 per cell]

Energy relative to the elements, uncorrected   -1.691 eV/atom
Total energy   -3.48 eV/atom
Total magnetic moment   0.0 μB per formula unit

=====

This record from Alexandria via LeMat-Bulk describes crystalline SrTcTeI2 at its relaxed geometry. The functional is GGA-PBEsol.

Lattice parameters (Å, degrees): 5.521 5.521 5.087 90.00 90.00 90.00
Space group P4/mmm (No. 123)
Symmetry-distinct sites (fractional):
Sr1 0.000 0.000 0.000 [1 per cell]
Tc1 0.500 0.500 0.500 [1 per cell]
Te1 0.500 0.500 0.000 [1 per cell]
I1 0.000 0.500 0.500 [2 per cell]

Energy relative to the elements, uncorrected   -0.267 eV/atom
Total energy   -4.30 eV/atom
Total magnetic moment   0.4 μB per formula unit

=====

This record from Alexandria via LeMat-Bulk describes crystalline Sr3TeI at its relaxed geometry. The functional is GGA-PBEsol.

Lattice parameters (Å, degrees): 6.233 6.233 6.233 90.00 90.00 90.00
Space group Pm-3m (No. 221)
Symmetry-distinct sites (fractional):
Sr1 0.000 0.000 0.500 [3 per cell]
Te1 0.000 0.000 0.000 [1 per cell]
I1 0.500 0.500 0.500 [1 per cell]

Energy relative to the elements, uncorrected   -0.607 eV/atom
Total energy   -2.77 eV/atom
Total magnetic moment   1.2 μB per formula unit

=====

This record from Alexandria via LeMat-Bulk describes crystalline SrTe2WI at its relaxed geometry. The functional is GGA-PBEsol.

Lattice parameters (Å, degrees): 5.252 5.252 5.744 90.00 90.00 90.00
Space group P4/mmm (No. 123)
Symmetry-distinct sites (fractional):
Sr1 0.000 0.000 0.000 [1 per cell]
Te1 0.000 0.500 0.500 [2 per cell]
W1 0.500 0.500 0.500 [1 per cell]
I1 0.500 0.500 0.000 [1 per cell]

Energy relative to the elements, uncorrected   -0.050 eV/atom
Total energy   -4.94 eV/atom
Total magnetic moment   0.0 μB per formula unit

=====

This record from Alexandria via LeMat-Bulk describes crystalline SrYTeI2 at its relaxed geometry. The functional is GGA-PBEsol.

Lattice parameters (Å, degrees): 5.805 5.805 5.884 90.00 90.00 90.00
Space group P4/mmm (No. 123)
Symmetry-distinct sites (fractional):
Sr1 0.000 0.000 0.000 [1 per cell]
Y1 0.500 0.500 0.500 [1 per cell]
Te1 0.500 0.500 0.000 [1 per cell]
I1 0.000 0.500 0.500 [2 per cell]

Energy relative to the elements, uncorrected   -1.064 eV/atom
Total energy   -4.21 eV/atom
Total magnetic moment   0.0 μB per formula unit

=====

This record from Alexandria via LeMat-Bulk describes crystalline SrTiI2 at its relaxed geometry. The functional is GGA-PBEsol.

Lattice parameters (Å, degrees): 7.449 7.449 7.449 90.00 90.00 90.00
Space group Fm-3m (No. 225)
Symmetry-distinct sites (fractional):
Sr1 0.000 0.000 0.000 [4 per cell]
Ti1 0.000 0.000 0.500 [4 per cell]
I1 0.250 0.250 0.250 [8 per cell]

Energy relative to the elements, uncorrected   -0.336 eV/atom
Total energy   -3.76 eV/atom
Total magnetic moment   0.0 μB per formula unit

=====

This record from Alexandria via LeMat-Bulk describes crystalline Sr2TlI at its relaxed geometry. The functional is GGA-PBEsol.

Lattice parameters (Å, degrees): 8.179 8.179 8.179 90.00 90.00 90.00
Space group Fm-3m (No. 225)
Symmetry-distinct sites (fractional):
Sr1 0.250 0.250 0.250 [8 per cell]
Tl1 0.000 0.000 0.000 [4 per cell]
I1 0.000 0.000 0.500 [4 per cell]

Energy relative to the elements, uncorrected   -0.619 eV/atom
Total energy   -2.64 eV/atom
Total magnetic moment   0.0 μB per formula unit

=====

This record from Alexandria via LeMat-Bulk describes crystalline SrTlI3 at its relaxed geometry. The functional is GGA-PBEsol.

Lattice parameters (Å, degrees): 6.257 6.257 6.257 90.00 90.00 90.00
Space group Pm-3m (No. 221)
Symmetry-distinct sites (fractional):
Sr1 0.000 0.000 0.000 [1 per cell]
Tl1 0.500 0.500 0.500 [1 per cell]
I1 0.000 0.000 0.500 [3 per cell]

Energy relative to the elements, uncorrected   -1.054 eV/atom
Total energy   -3.01 eV/atom
Total magnetic moment   0.0 μB per formula unit

=====

This record from Alexandria via LeMat-Bulk describes crystalline SrUI6 at its relaxed geometry. The functional is GGA-PBEsol.

Lattice parameters (Å, degrees): 7.871 13.526 14.278 90.00 101.08 90.00
Space group C2/c (No. 15)
Symmetry-distinct sites (fractional):
Sr1 0.000 0.084 0.250 [4 per cell]
U1 0.000 0.418 0.250 [4 per cell]
I1 0.110 0.426 0.626 [8 per cell]
I2 0.111 0.264 0.124 [8 per cell]
I3 0.150 0.082 0.623 [8 per cell]

Energy relative to the elements, uncorrected   -1.043 eV/atom
Total energy   -4.12 eV/atom
Total magnetic moment   2.0 μB per formula unit

=====

This record from Alexandria via LeMat-Bulk describes crystalline SrZnI2 at its relaxed geometry. The functional is GGA-PBEsol.

Lattice parameters (Å, degrees): 8.013 8.013 8.013 90.00 90.00 90.00
Space group Fm-3m (No. 225)
Symmetry-distinct sites (fractional):
Sr1 0.000 0.000 0.000 [4 per cell]
Zn1 0.000 0.000 0.500 [4 per cell]
I1 0.250 0.250 0.250 [8 per cell]

Energy relative to the elements, uncorrected   -0.915 eV/atom
Total energy   -2.65 eV/atom
Total magnetic moment   0.0 μB per formula unit

=====

This record from Alexandria via LeMat-Bulk describes crystalline TaI4 at its relaxed geometry. The functional is GGA-PBEsol.

Lattice parameters (Å, degrees): 7.049 10.586 10.656 79.48 89.28 74.76
Space group P-1 (No. 2)
Symmetry-distinct sites (fractional):
Ta1 0.115 0.411 0.335 [2 per cell]
Ta2 0.188 0.171 0.220 [2 per cell]
I1 0.026 0.179 0.469 [2 per cell]
I2 0.079 0.957 0.835 [2 per cell]
I3 0.124 0.596 0.862 [2 per cell]
I4 0.206 0.627 0.212 [2 per cell]
I5 0.244 0.445 0.576 [2 per cell]
I6 0.344 0.207 0.993 [2 per cell]
I7 0.427 0.923 0.310 [2 per cell]
I8 0.488 0.254 0.330 [2 per cell]

Energy relative to the elements, uncorrected   -0.416 eV/atom
Total energy   -4.34 eV/atom
Total magnetic moment   0.0 μB per formula unit

=====

This record from Alexandria via LeMat-Bulk describes crystalline TaI5 at its relaxed geometry. The functional is GGA-PBEsol.

Lattice parameters (Å, degrees): 13.964 19.935 6.473 90.00 90.00 90.00
Space group Pnma (No. 62)
Symmetry-distinct sites (fractional):
Ta1 0.126 0.140 0.004 [8 per cell]
I1 0.031 0.651 0.754 [8 per cell]
I2 0.041 0.056 0.747 [8 per cell]
I3 0.048 0.250 0.769 [4 per cell]
I4 0.205 0.250 0.239 [4 per cell]
I5 0.211 0.056 0.262 [8 per cell]
I6 0.217 0.651 0.261 [8 per cell]

Energy relative to the elements, uncorrected   -0.411 eV/atom
Total energy   -3.98 eV/atom
Total magnetic moment   0.0 μB per formula unit

=====

This record from Alexandria via LeMat-Bulk describes crystalline TaTc2I at its relaxed geometry. The functional is GGA-PBEsol.

Lattice parameters (Å, degrees): 6.438 6.438 6.438 90.00 90.00 90.00
Space group Fm-3m (No. 225)
Symmetry-distinct sites (fractional):
Ta1 0.000 0.000 0.000 [4 per cell]
Tc1 0.250 0.250 0.250 [8 per cell]
I1 0.000 0.000 0.500 [4 per cell]

Energy relative to the elements, uncorrected   0.674 eV/atom
Total energy   -8.54 eV/atom
Total magnetic moment   0.0 μB per formula unit

=====

This record from Alexandria via LeMat-Bulk describes crystalline TaTcI2 at its relaxed geometry. The functional is GGA-PBEsol.

Lattice parameters (Å, degrees): 6.705 6.705 6.705 90.00 90.00 90.00
Space group Fm-3m (No. 225)
Symmetry-distinct sites (fractional):
Ta1 0.000 0.000 0.000 [4 per cell]
Tc1 0.000 0.000 0.500 [4 per cell]
I1 0.250 0.250 0.250 [8 per cell]

Energy relative to the elements, uncorrected   0.885 eV/atom
Total energy   -5.95 eV/atom
Total magnetic moment   0.0 μB per formula unit

=====

This record from Alexandria via LeMat-Bulk describes crystalline Ta3TeI at its relaxed geometry. The functional is GGA-PBEsol.

Lattice parameters (Å, degrees): 4.978 4.978 4.978 90.00 90.00 90.00
Space group Pm-3m (No. 221)
Symmetry-distinct sites (fractional):
Ta1 0.000 0.000 0.500 [3 per cell]
Te1 0.500 0.500 0.500 [1 per cell]
I1 0.000 0.000 0.000 [1 per cell]

Energy relative to the elements, uncorrected   2.015 eV/atom
Total energy   -6.57 eV/atom
Total magnetic moment   0.0 μB per formula unit

=====

This record from Alexandria via LeMat-Bulk describes crystalline TaTeI2 at its relaxed geometry. The functional is GGA-PBEsol.

Lattice parameters (Å, degrees): 7.269 7.269 7.269 90.00 90.00 90.00
Space group Fm-3m (No. 225)
Symmetry-distinct sites (fractional):
Ta1 0.000 0.000 0.000 [4 per cell]
Te1 0.000 0.000 0.500 [4 per cell]
I1 0.250 0.250 0.250 [8 per cell]

Energy relative to the elements, uncorrected   0.770 eV/atom
Total energy   -4.13 eV/atom
Total magnetic moment   0.0 μB per formula unit

=====

This record from Alexandria via LeMat-Bulk describes crystalline TaTe2WI at its relaxed geometry. The functional is GGA-PBEsol.

Lattice parameters (Å, degrees): 5.179 5.179 5.304 90.00 90.00 90.00
Space group P4/mmm (No. 123)
Symmetry-distinct sites (fractional):
Ta1 0.000 0.000 0.000 [1 per cell]
Te1 0.000 0.500 0.500 [2 per cell]
W1 0.500 0.500 0.500 [1 per cell]
I1 0.500 0.500 0.000 [1 per cell]

Energy relative to the elements, uncorrected   1.533 eV/atom
Total energy   -5.50 eV/atom
Total magnetic moment   3.4 μB per formula unit

=====

This record from Alexandria via LeMat-Bulk describes crystalline TaWI3 at its relaxed geometry. The functional is GGA-PBEsol.

Lattice parameters (Å, degrees): 5.429 5.429 5.429 90.00 90.00 90.00
Space group Pm-3m (No. 221)
Symmetry-distinct sites (fractional):
Ta1 0.000 0.000 0.000 [1 per cell]
W1 0.500 0.500 0.500 [1 per cell]
I1 0.000 0.000 0.500 [3 per cell]

Energy relative to the elements, uncorrected   1.622 eV/atom
Total energy   -4.71 eV/atom
Total magnetic moment   5.7 μB per formula unit

=====

This record from Alexandria via LeMat-Bulk describes crystalline Y2Ta2I at its relaxed geometry. The functional is GGA-PBEsol.

Lattice parameters (Å, degrees): 4.513 4.513 12.945 90.00 90.00 90.00
Space group I4/mmm (No. 139)
Symmetry-distinct sites (fractional):
Y1 0.000 0.500 0.250 [4 per cell]
Ta1 0.000 0.000 0.091 [4 per cell]
I1 0.000 0.000 0.500 [2 per cell]

Energy relative to the elements, uncorrected   1.224 eV/atom
Total energy   -6.88 eV/atom
Total magnetic moment   0.0 μB per formula unit